Density functional theory data (GGA-PBE) for AlIn2Ga4 after structural relaxation.

Unit cell a=3.1599 b=3.1623 c=14.8022 alpha=90.00 beta=95.75 gamma=90.00
Fractional coordinates of all 7 atoms:
Al (0.0000, 0.0000, 0.0000)
In (0.2973, 0.5000, 0.5960)
In (0.7027, 0.5000, 0.4040)
Ga (0.1179, 0.0000, 0.2504)
Ga (0.4466, 0.5000, 0.8782)
Ga (0.5534, 0.5000, 0.1218)
Ga (0.8821, 0.0000, 0.7496)

Values from the calculation:
Volume in Å³ per atom: 21.02
Symmetry: No. 10

Density functional theory data (GGA-PBE) for AlInGa4 after structural relaxation.

Unit cell a=5.6084 b=5.6084 c=5.6084 alpha=60.00 beta=60.00 gamma=60.00
Fractional coordinates of all 6 atoms:
Al (0.0000, 0.0000, 0.0000)
In (0.2500, 0.2500, 0.2500)
Ga (0.1238, 0.6254, 0.6254)
Ga (0.6254, 0.1238, 0.6254)
Ga (0.6254, 0.6254, 0.1238)
Ga (0.6254, 0.6254, 0.6254)

Values from the calculation:
Volume in Å³ per atom: 20.79
Symmetry: No. 216
Offset from the most stable computed form in meV per atom: 96

Density functional theory data (GGA-PBE) for Al2InGa after structural relaxation.

Unit cell a=6.1624 b=6.1624 c=6.1624 alpha=102.39 beta=102.39 gamma=124.82
Fractional coordinates of all 8 atoms:
Al (0.0915, 0.6250, 0.9665)
Al (0.3750, 0.3415, 0.4665)
Al (0.6585, 0.1250, 0.0335)
Al (0.8750, 0.9085, 0.5335)
In (0.2500, 0.7500, 0.5000)
In (0.5000, 0.5000, 0.0000)
Ga (0.0000, 0.0000, 0.0000)
Ga (0.7500, 0.2500, 0.5000)

Values from the calculation:
Volume in Å³ per atom: 21.28
Symmetry: No. 122
Offset from the most stable computed form in meV per atom: 72

Density functional theory data (GGA-PBE) for AlIn2Ga2 after structural relaxation.

Unit cell a=6.9086 b=6.9086 c=4.7185 alpha=90.00 beta=90.00 gamma=90.00
Fractional coordinates of all 10 atoms:
Al (0.0000, 0.0000, 0.0000)
Al (0.5000, 0.5000, 0.0000)
In (0.1791, 0.3209, 0.5000)
In (0.3209, 0.8209, 0.5000)
In (0.6791, 0.1791, 0.5000)
In (0.8209, 0.6791, 0.5000)
Ga (0.1354, 0.6354, 0.0000)
Ga (0.3646, 0.1354, 0.0000)
Ga (0.6354, 0.8646, 0.0000)
Ga (0.8646, 0.3646, 0.0000)

Values from the calculation:
Volume in Å³ per atom: 22.52
Symmetry: No. 127
Offset from the most stable computed form in meV per atom: 0

Density functional theory data (GGA-PBE) for AlInGa2 after structural relaxation.

Unit cell a=4.8897 b=4.8897 c=4.8897 alpha=60.00 beta=60.00 gamma=60.00
Fractional coordinates of all 4 atoms:
Al (0.0000, 0.0000, 0.0000)
In (0.5000, 0.5000, 0.5000)
Ga (0.2500, 0.2500, 0.2500)
Ga (0.7500, 0.7500, 0.7500)

Values from the calculation:
Volume in Å³ per atom: 20.67
Symmetry: No. 225
Offset from the most stable computed form in meV per atom: 90

Density functional theory data (GGA-PBE) for Al4InGa after structural relaxation.

Unit cell a=5.5189 b=5.5189 c=5.5189 alpha=60.00 beta=60.00 gamma=60.00
Fractional coordinates of all 6 atoms:
Al (0.1253, 0.1253, 0.1253)
Al (0.1253, 0.1253, 0.6241)
Al (0.1253, 0.6241, 0.1253)
Al (0.6241, 0.1253, 0.1253)
In (0.7500, 0.7500, 0.7500)
Ga (0.5000, 0.5000, 0.5000)

Values from the calculation:
Volume in Å³ per atom: 19.81
Symmetry: No. 216

Number 1: energy of formation from the pure elements 0.9 kcal/mol of atoms, magnetization 0.0 Bohr magnetons per cell. Number 2: energy of formation from the pure elements 3.5 kcal/mol of atoms, magnetization 0.0 Bohr magnetons per cell. Number 3: energy of formation from the pure elements 4.6 kcal/mol of atoms, magnetization 0.0 Bohr magnetons per cell. Number 4: energy of formation from the pure elements 2.1 kcal/mol of atoms, magnetization 0.0 Bohr magnetons per cell. Number 5: energy of formation from the pure elements 3.1 kcal/mol of atoms, magnetization 0.0 Bohr magnetons per cell. Number 6: energy of formation from the pure elements 3.5 kcal/mol of atoms, magnetization 0.0 Bohr magnetons per cell.